Below is an optimized crystal structure of TaFe2Ir2, with properties calculated at the GGA-PBE level.

Cell: 7.1881 7.1881 2.7841 Å, 90.00 90.00 90.00°
Positions (direct):
Ir (0.3687, 0.8687, 0.0000)
Ir (0.8687, 0.6313, 0.0000)
Ir (0.6313, 0.1313, 0.0000)
Ir (0.1313, 0.3687, 0.0000)
Fe (0.1675, 0.6675, 0.5000)
Fe (0.6675, 0.8325, 0.5000)
Fe (0.8325, 0.3325, 0.5000)
Fe (0.3325, 0.1675, 0.5000)
Ta (0.0000, 0.0000, 0.0000)
Ta (0.5000, 0.5000, 0.0000)

Values from the calculation:
The density of states at the Fermi level is 1.02 states/eV/atom. The value obtained for the distance to the lowest polymorph of the same formula is 71 meV/atom. The formation energy is -0.06 eV/atom. The total magnetization is 8.72 μB per cell. The space group is P4/mbm (127).